Record 1
DFT (PBE-GGA) results for a geometry-optimized PS2IF structure.

Results
* symmetry: P4/mmm, No. 123
* ΔE to the lowest computed polymorph: 360 meV/atom
* volume: 27.90 A^3/atom

Structure (POSCAR):
```
PS2IF
1.0
-2.9390 2.7631 3.0656
-3.7118 -3.4150 -0.4806
1.9353 -2.7080 4.2962
I P S F
1 1 2 1
Direct
0.0000 0.0000 0.0000
0.0000 0.0000 0.5000
0.0000 0.5000 0.0000
0.5000 0.0000 0.0000
0.5000 0.5000 0.5000
```

Record 2
DFT (PBE-GGA) results for a geometry-optimized Sb2PIF structure.

Results
* symmetry: P4/mmm, No. 123
* ΔE to the lowest computed polymorph: 0 meV/atom
* volume: 29.47 A^3/atom

Structure (POSCAR):
```
Sb2PIF
1.0
5.2087 0.0000 0.0000
0.0000 5.2087 0.0000
0.0000 0.0000 5.4305
I Sb F P
1 2 1 1
Direct
0.0000 0.0000 0.5000
0.0000 0.5000 0.0000
0.5000 0.0000 0.0000
0.5000 0.5000 0.5000
0.0000 0.0000 0.0000
```

Record 3
DFT (PBE-GGA) results for a geometry-optimized PSe2IF structure.

Results
* symmetry: P4/mmm, No. 123
* volume: 31.20 A^3/atom

Structure (POSCAR):
```
PSe2IF
1.0
5.3730 0.0000 0.0000
0.0000 5.4044 0.0000
0.0000 0.0000 5.3730
I P Se F
1 1 2 1
Direct
0.0000 0.0000 0.0000
0.0000 0.5000 0.0000
0.0000 0.0000 0.5000
0.5000 0.0000 0.0000
0.5000 0.5000 0.5000
```

Record 4
DFT (PBE-GGA) results for a geometry-optimized Te2PIF structure.

Results
* symmetry: P4/mmm, No. 123
* ΔE to the lowest computed polymorph: 0 meV/atom
* volume: 29.31 A^3/atom

Structure (POSCAR):
```
Te2PIF
1.0
-0.6842 -3.7933 -3.5273
0.0340 -3.5611 3.8232
-5.3212 0.4908 0.5044
I P Te F
1 1 2 1
Direct
0.0000 0.0000 0.5000
0.0000 0.0000 0.0000
0.0000 0.5000 0.0000
0.5000 0.0000 0.0000
0.5000 0.5000 0.5000
```

no.,total moment (μB per cell),formation energy without anion corrections (eV per atom)
1,1.9,1.159
2,0.0,0.324
3,1.6,1.052
4,0.0,0.311